# 1
First-principles (PBE-GGA) data for crystalline CdC3F at its relaxed geometry, as listed in the Alexandria database.

The relative energy among the computed polymorphs is 0.359 eV per atom. The formation energy from raw total energies is 3397 meV per atom. The space group is Pm-3m. Its theoretical density is 3.34 g/cm³. The size of the total moment comes out at 3.28 μB per formula unit. As for the energy: -2.6944 eV/atom.

a = 4.367 Å, b = 4.367 Å, c = 4.367 Å
α = 90.00°, β = 90.00°, γ = 90.00°
Fractional coordinates of all 5 atoms:
Cd  0.000  0.000  0.000
C  0.000  0.000  0.500
C  0.000  0.500  0.000
C  0.500  0.000  0.000
F  0.500  0.500  0.500



# 2
First-principles (PBE-GGA) data for crystalline Pm3Y7Er2 at its relaxed geometry, as listed in the Alexandria database.

The relative energy among the computed polymorphs is 0.000 eV per atom. The space group is P2/m. Its theoretical density is 5.87 g/cm³. The value obtained for the energy relative to the elements is 0.09 eV per atom. The size of the total moment comes out at 0.00 μB per formula unit. As for the energy: -5.6320 eV/atom.

a = 5.853 Å, b = 3.578 Å, c = 18.841 Å
α = 90.00°, β = 93.15°, γ = 90.00°
Fractional coordinates of all 12 atoms:
Pm  0.000  0.000  0.000
Pm  0.279  0.500  0.634
Pm  0.721  0.500  0.366
Y  0.188  0.500  0.144
Y  0.243  0.000  0.463
Y  0.308  0.000  0.822
Y  0.500  0.500  0.000
Y  0.692  0.000  0.178
Y  0.757  0.000  0.537
Y  0.812  0.500  0.856
Er  0.209  0.000  0.293
Er  0.791  0.000  0.707



# 3
First-principles (PBE-GGA) data for crystalline Ca3Tl3Cd at its relaxed geometry, as listed in the Alexandria database.

The space group is Cmmm. Its theoretical density is 6.65 g/cm³. The value obtained for the energy relative to the elements is -0.26 eV per atom. The size of the total moment comes out at 0.00 μB per formula unit. As for the energy: -2.2630 eV/atom.

a = 7.656 Å, b = 7.656 Å, c = 7.210 Å
α = 90.00°, β = 90.00°, γ = 90.14°
Fractional coordinates of all 14 atoms:
Ca  0.000  0.000  0.248
Ca  0.000  0.000  0.752
Ca  0.000  0.500  0.249
Ca  0.000  0.500  0.751
Ca  0.500  0.000  0.249
Ca  0.500  0.000  0.751
Tl  0.269  0.731  0.500
Tl  0.286  0.714  0.000
Tl  0.305  0.305  0.500
Tl  0.695  0.695  0.500
Tl  0.714  0.286  0.000
Tl  0.731  0.269  0.500
Cd  0.293  0.293  0.000
Cd  0.707  0.707  0.000



# 4
First-principles (PBE-GGA) data for crystalline LiGdDyCu at its relaxed geometry, as listed in the Alexandria database.

The space group is F-43m. Its theoretical density is 7.12 g/cm³. The value obtained for the energy relative to the elements is -0.03 eV per atom. The size of the total moment comes out at 7.44 μB per formula unit. As for the energy: -6.2000 eV/atom.

a = 5.050 Å, b = 5.050 Å, c = 5.050 Å
α = 60.00°, β = 60.00°, γ = 60.00°
Fractional coordinates of all 4 atoms:
Li  0.000  0.000  0.000
Gd  0.250  0.250  0.250
Dy  0.750  0.750  0.750
Cu  0.500  0.500  0.500



# 5
First-principles (PBE-GGA) data for crystalline TbZnSn at its relaxed geometry, as listed in the Alexandria database.

The space group is I4mm. Its theoretical density is 7.57 g/cm³. The value obtained for the energy relative to the elements is -0.20 eV per atom. The size of the total moment comes out at 0.00 μB per formula unit. As for the energy: -3.5062 eV/atom.

a = 5.341 Å, b = 5.341 Å, c = 5.341 Å
α = 134.90°, β = 134.90°, γ = 65.68°
Fractional coordinates of all 3 atoms:
Tb  0.000  0.000  0.000
Zn  0.665  0.665  0.000
Sn  0.342  0.342  0.000



# 6
First-principles (PBE-GGA) data for crystalline Ba2Si4Ir3 at its relaxed geometry, as listed in the Alexandria database.

The formation energy from raw total energies is -431 meV per atom. The space group is Fmmm. Its theoretical density is 7.82 g/cm³. The size of the total moment comes out at 0.00 μB per formula unit. As for the energy: -6.2220 eV/atom.

a = 8.518 Å, b = 7.437 Å, c = 5.880 Å
α = 78.57°, β = 58.85°, γ = 42.58°
Fractional coordinates of all 9 atoms:
Ba  0.143  0.143  0.857
Ba  0.857  0.857  0.143
Si  0.205  0.542  0.458
Si  0.458  0.795  0.205
Si  0.542  0.205  0.795
Si  0.795  0.458  0.542
Ir  0.000  0.000  0.500
Ir  0.500  0.500  0.000
Ir  0.500  0.500  0.500